Record 1
# MgNbCu2C PBE relaxed
data_MgNbCu2C
_chemical_formula_sum 'Mg1 Nb1 Cu2 C1'
_cell_length_a 4.001
_cell_length_b 4.001
_cell_length_c 4.287
_cell_angle_alpha 90.00
_cell_angle_beta 90.00
_cell_angle_gamma 90.00
_space_group_name_H-M_alt 'P 4/m m m'
_space_group_IT_number 123
_space_group_name_Hall '-P 4 2'
loop_
_atom_site_label
_atom_site_fract_x
_atom_site_fract_y
_atom_site_fract_z
Mg1 0.000 0.000 0.000
Nb1 0.500 0.500 0.000
Cu1 0.000 0.500 0.500
C1 0.500 0.500 0.500
# Formation enthalpy at 0 K   0.171 eV per atom
# Total energy   -5.6449 eV per atom


Record 2
# HfThZnRe PBE relaxed
data_HfThZnRe
_chemical_formula_sum 'Hf4 Th4 Zn4 Re4'
_cell_length_a 6.942
_cell_length_b 6.942
_cell_length_c 6.942
_cell_angle_alpha 90.00
_cell_angle_beta 90.00
_cell_angle_gamma 90.00
_space_group_name_H-M_alt 'F -4 3 m'
_space_group_IT_number 216
_space_group_name_Hall 'F -4 2 3'
loop_
_atom_site_label
_atom_site_fract_x
_atom_site_fract_y
_atom_site_fract_z
Hf1 0.000 0.000 0.000
Th1 0.000 0.000 0.500
Zn1 0.250 0.250 0.250
Re1 0.250 0.250 0.750
# Formation enthalpy at 0 K   -0.021 eV per atom
# Total energy   -7.7951 eV per atom


Record 3
# Ce2SmScSb4 PBE relaxed
data_Ce2SmScSb4
_chemical_formula_sum 'Ce2 Sm1 Sc1 Sb4'
_cell_length_a 7.633
_cell_length_b 4.416
_cell_length_c 7.645
_cell_angle_alpha 90.00
_cell_angle_beta 109.52
_cell_angle_gamma 90.00
_space_group_name_H-M_alt 'P 1 2/m 1'
_space_group_IT_number 10
_space_group_name_Hall '-P 2y'
loop_
_atom_site_label
_atom_site_fract_x
_atom_site_fract_y
_atom_site_fract_z
Ce1 0.000 0.000 0.000
Ce2 0.000 0.500 0.500
Sm1 0.500 0.000 0.500
Sc1 0.500 0.500 0.000
Sb1 0.257 0.500 0.243
Sb2 0.264 0.000 0.764
# Total energy   -5.9584 eV per atom
# Uncorrected formation energy   -8.3 eV per formula unit


Record 4
# Ba2BrO PBE relaxed
data_Ba2BrO
_chemical_formula_sum 'Ba8 Br4 O4'
_cell_length_a 7.487
_cell_length_b 7.487
_cell_length_c 7.487
_cell_angle_alpha 90.00
_cell_angle_beta 90.00
_cell_angle_gamma 90.00
_space_group_name_H-M_alt 'F m -3 m'
_space_group_IT_number 225
_space_group_name_Hall '-F 4 2 3'
loop_
_atom_site_label
_atom_site_fract_x
_atom_site_fract_y
_atom_site_fract_z
Ba1 0.250 0.250 0.250
Br1 0.000 0.000 0.000
O1 0.000 0.000 0.500
# Total energy   -4.0856 eV per atom
# Uncorrected formation energy   -5.9 eV per formula unit


Record 5
# NaAlCrPt2 PBE relaxed
data_NaAlCrPt2
_chemical_formula_sum 'Na1 Al1 Cr1 Pt2'
_cell_length_a 4.591
_cell_length_b 4.591
_cell_length_c 4.733
_cell_angle_alpha 90.00
_cell_angle_beta 90.00
_cell_angle_gamma 90.00
_space_group_name_H-M_alt 'P 4/m m m'
_space_group_IT_number 123
_space_group_name_Hall '-P 4 2'
loop_
_atom_site_label
_atom_site_fract_x
_atom_site_fract_y
_atom_site_fract_z
Na1 0.000 0.000 0.000
Al1 0.000 0.000 0.500
Cr1 0.500 0.500 0.000
Pt1 0.000 0.500 0.500
# Formation enthalpy at 0 K   0.899 eV per atom
# Total energy   -4.4542 eV per atom


Record 6
# TlReBiN2 PBE relaxed
data_TlReBiN2
_chemical_formula_sum 'Tl1 Re1 Bi1 N2'
_cell_length_a 4.298
_cell_length_b 4.298
_cell_length_c 6.597
_cell_angle_alpha 90.00
_cell_angle_beta 90.00
_cell_angle_gamma 90.00
_space_group_name_H-M_alt 'P 4/m m m'
_space_group_IT_number 123
_space_group_name_Hall '-P 4 2'
loop_
_atom_site_label
_atom_site_fract_x
_atom_site_fract_y
_atom_site_fract_z
Tl1 0.000 0.000 0.000
Re1 0.500 0.500 0.000
Bi1 0.000 0.000 0.500
N1 0.000 0.500 0.500
# Total energy   -4.5629 eV per atom
# Uncorrected formation energy   12.5 eV per formula unit


Record 7
# TbMgIn2Pd4 PBE relaxed
data_TbMgIn2Pd4
_chemical_formula_sum 'Tb3 Mg3 In6 Pd12'
_cell_length_a 4.7274
_cell_length_b 4.7274
_cell_length_c 22.8320
_cell_angle_alpha 90.00
_cell_angle_beta 90.00
_cell_angle_gamma 120.00
_space_group_name_H-M_alt 'R -3 m'
_space_group_IT_number 166
_space_group_name_Hall '-R 3 2"'
loop_
_atom_site_label
_atom_site_fract_x
_atom_site_fract_y
_atom_site_fract_z
Tb1 0.0000 0.0000 0.0000
Mg1 0.0000 0.0000 0.5000
In1 0.0000 0.0000 0.2488
Pd1 0.0000 0.0000 0.1270
Pd2 0.0000 0.0000 0.3794
# Formation enthalpy at 0 K   -0.724 eV per atom
# Total energy   -4.7829 eV per atom


Record 8
# Hf2NbPb PBE relaxed
data_Hf2NbPb
_chemical_formula_sum 'Hf2 Nb1 Pb1'
_cell_length_a 3.625
_cell_length_b 3.625
_cell_length_c 6.567
_cell_angle_alpha 90.00
_cell_angle_beta 90.00
_cell_angle_gamma 90.00
_space_group_name_H-M_alt 'P 4/m m m'
_space_group_IT_number 123
_space_group_name_Hall '-P 4 2'
loop_
_atom_site_label
_atom_site_fract_x
_atom_site_fract_y
_atom_site_fract_z
Hf1 0.000 0.000 0.231
Nb1 0.500 0.500 0.000
Pb1 0.500 0.500 0.500
# Formation enthalpy at 0 K   -0.070 eV per atom
# Total energy   -8.4917 eV per atom


Record 9
# AcTmH PBE relaxed
data_AcTmH
_chemical_formula_sum 'Ac4 Tm4 H4'
_cell_length_a 6.980
_cell_length_b 5.718
_cell_length_c 7.676
_cell_angle_alpha 90.00
_cell_angle_beta 90.01
_cell_angle_gamma 90.00
_space_group_name_H-M_alt 'P 1 21/c 1'
_space_group_IT_number 14
_space_group_name_Hall '-P 2ybc'
loop_
_atom_site_label
_atom_site_fract_x
_atom_site_fract_y
_atom_site_fract_z
Ac1 0.180 0.250 0.250
Tm1 0.359 0.750 0.000
H1 0.192 0.749 0.250
# Total energy   -4.2089 eV per atom


Record 10
# ZnTcSe2 PBE relaxed
data_ZnTcSe2
_chemical_formula_sum 'Zn2 Tc2 Se4'
_cell_length_a 3.396
_cell_length_b 5.640
_cell_length_c 7.703
_cell_angle_alpha 90.00
_cell_angle_beta 90.00
_cell_angle_gamma 90.00
_space_group_name_H-M_alt 'I m m m'
_space_group_IT_number 71
_space_group_name_Hall '-I 2 2'
loop_
_atom_site_label
_atom_site_fract_x
_atom_site_fract_y
_atom_site_fract_z
Zn1 0.000 0.000 0.000
Tc1 0.000 0.000 0.500
Se1 0.000 0.500 0.240
# Total energy   -4.3420 eV per atom
# Uncorrected formation energy   1.2 eV per formula unit


Record 11
# Cs2BaAg2 PBE relaxed
data_Cs2BaAg2
_chemical_formula_sum 'Cs4 Ba2 Ag4'
_cell_length_a 10.440
_cell_length_b 10.440
_cell_length_c 4.166
_cell_angle_alpha 90.00
_cell_angle_beta 90.00
_cell_angle_gamma 90.00
_space_group_name_H-M_alt 'P 4/m b m'
_space_group_IT_number 127
_space_group_name_Hall '-P 4 2ab'
loop_
_atom_site_label
_atom_site_fract_x
_atom_site_fract_y
_atom_site_fract_z
Cs1 0.128 0.372 0.000
Ba1 0.000 0.000 0.000
Ag1 0.178 0.678 0.500
# Formation enthalpy at 0 K   0.170 eV per atom
# Total energy   -1.6965 eV per atom


Record 12
# YMoP2 PBE relaxed
data_YMoP2
_chemical_formula_sum 'Y1 Mo1 P2'
_cell_length_a 3.475
_cell_length_b 3.475
_cell_length_c 6.007
_cell_angle_alpha 90.00
_cell_angle_beta 90.00
_cell_angle_gamma 90.00
_space_group_name_H-M_alt 'P 4 m m'
_space_group_IT_number 99
_space_group_name_Hall 'P 4 -2'
loop_
_atom_site_label
_atom_site_fract_x
_atom_site_fract_y
_atom_site_fract_z
Y1 0.000 0.000 0.000
Mo1 0.500 0.500 0.387
P1 0.000 0.000 0.490
P2 0.500 0.500 0.804
# Formation enthalpy at 0 K   -0.457 eV per atom
# Total energy   -7.4853 eV per atom


Number 1: DOS at the Fermi energy 2.2 states/eV/cell. Number 2: DOS at the Fermi energy 12.5 states/eV/cell. Number 3: DOS at the Fermi energy 14.0 states/eV/cell. Number 4: DOS at the Fermi energy 9.3 states/eV/cell. Number 5: DOS at the Fermi energy 4.5 states/eV/cell. Number 6: DOS at the Fermi energy 2.6 states/eV/cell. Number 7: DOS at the Fermi energy 11.3 states/eV/cell. Number 8: DOS at the Fermi energy 3.3 states/eV/cell. Number 9: DOS at the Fermi energy 9.2 states/eV/cell. Number 10: DOS at the Fermi energy 5.9 states/eV/cell. Number 11: DOS at the Fermi energy 6.7 states/eV/cell. Number 12: DOS at the Fermi energy 1.5 states/eV/cell.